(1)
Material: ZrVAs2Br
Method: DFT, PBE
State: relaxed

a = 5.2177 Å, b = 5.2177 Å, c = 5.2240 Å
α = 90.00°, β = 90.00°, γ = 90.00°
With the nearest neighbours (Å) after each atom.
Space group P4/mmm (No. 123)
Symmetry-distinct sites (fractional):
Zr  0.0000  0.0000  0.0000  4 As 2.61, 2 Br 2.61
V  0.5000  0.5000  0.5000  4 Br 3.69, 8 As 3.69
As  0.0000  0.5000  0.0000  2 Zr 2.61
Br  0.0000  0.0000  0.5000  2 Zr 2.61

Calculated values
As for the excess energy over the best structure of this formula in the dataset: 152.5 meV/atom. The density of states at the Fermi level comes out at 1.732 states/eV per atom. The total moment comes out at 3.08 Bohr magnetons per cell. For the formation energy without anion corrections, the calculation gives 0.379 eV/atom.



(2)
Material: ZrVAsBr2
Method: DFT, PBE
State: relaxed

a = 5.2380 Å, b = 5.2380 Å, c = 5.3676 Å
α = 90.00°, β = 90.00°, γ = 90.00°
With the nearest neighbours (Å) after each atom.
Space group P4/mmm (No. 123)
Symmetry-distinct sites (fractional):
Zr  0.0000  0.0000  0.0000  4 Br 2.62, 2 As 2.68
V  0.5000  0.5000  0.5000  4 As 3.70, 8 Br 3.75
As  0.0000  0.0000  0.5000  2 Zr 2.68
Br  0.0000  0.5000  0.0000  2 Zr 2.62

Calculated values
As for the excess energy over the best structure of this formula in the dataset: 0.0 meV/atom. The density of states at the Fermi level comes out at 0.934 states/eV per atom. The total moment comes out at 3.63 Bohr magnetons per cell. For the formation energy without anion corrections, the calculation gives 0.144 eV/atom.



(3)
Material: ZrVAs2Br
Method: DFT, PBE
State: relaxed

a = 4.7757 Å, b = 4.7757 Å, c = 4.9346 Å
α = 90.00°, β = 90.00°, γ = 90.00°
With the nearest neighbours (Å) after each atom.
Space group P4/mmm (No. 123)
Symmetry-distinct sites (fractional):
Zr  0.0000  0.0000  0.0000  4 Br 3.38, 8 As 3.43
V  0.5000  0.5000  0.5000  4 As 2.39, 2 Br 2.47
As  0.0000  0.5000  0.5000  2 V 2.39
Br  0.5000  0.5000  0.0000  2 V 2.47

Calculated values
As for the excess energy over the best structure of this formula in the dataset: 0.0 meV/atom. The density of states at the Fermi level comes out at 0.951 states/eV per atom. The total moment comes out at 2.52 Bohr magnetons per cell. For the formation energy without anion corrections, the calculation gives 0.227 eV/atom.



(4)
Material: ZrVAsBr2
Method: DFT, PBE
State: relaxed

a = 4.8845 Å, b = 4.8845 Å, c = 5.1138 Å
α = 90.00°, β = 90.00°, γ = 90.00°
With the nearest neighbours (Å) after each atom.
Space group P4/mmm (No. 123)
Symmetry-distinct sites (fractional):
Zr  0.0000  0.0000  0.0000  4 As 3.45, 8 Br 3.54
V  0.5000  0.5000  0.5000  4 Br 2.44, 2 As 2.56
As  0.5000  0.5000  0.0000  2 V 2.56
Br  0.0000  0.5000  0.5000  2 V 2.44

Calculated values
As for the excess energy over the best structure of this formula in the dataset: 59.3 meV/atom. The density of states at the Fermi level comes out at 1.211 states/eV per atom. The total moment comes out at 4.00 Bohr magnetons per cell. For the formation energy without anion corrections, the calculation gives 0.203 eV/atom.



(5)
Material: AsW2Br
Method: DFT, PBE
State: relaxed

a = 3.2946 Å, b = 3.2946 Å, c = 6.8404 Å
α = 90.00°, β = 90.00°, γ = 90.00°
With the nearest neighbours (Å) after each atom.
Space group P4/mmm (No. 123)
Symmetry-distinct sites (fractional):
As  0.0000  0.0000  0.0000  8 W 2.63
W  0.5000  0.5000  0.1791  1 W 2.45, 4 As 2.63
Br  0.0000  0.0000  0.5000  8 W 3.20, 4 Br 3.29, 2 As 3.42

Calculated values
As for the excess energy over the best structure of this formula in the dataset: 580.6 meV/atom. The density of states at the Fermi level comes out at 0.618 states/eV per atom. The total moment comes out at 0.00 Bohr magnetons per cell. For the formation energy without anion corrections, the calculation gives 0.727 eV/atom.



(6)
Material: AsW2Br
Method: DFT, PBE
State: relaxed

a = 8.9449 Å, b = 3.2626 Å, c = 7.5361 Å
α = 90.00°, β = 121.69°, γ = 90.00°
With the nearest neighbours (Å) after each atom.
Space group C2/m (No. 12)
Symmetry-distinct sites (fractional):
As  0.0000  0.0000  0.0000  6 W 2.67-2.69
W  0.2222  0.0000  0.8643  2 W 2.45, 3 As 2.67-2.69
Br  0.0000  0.5000  0.5000  4 W 2.90

Calculated values
As for the excess energy over the best structure of this formula in the dataset: 425.0 meV/atom. The density of states at the Fermi level comes out at 0.610 states/eV per atom. The total moment comes out at 0.00 Bohr magnetons per cell. For the formation energy without anion corrections, the calculation gives 0.571 eV/atom.



(7)
Material: As4WBr
Method: DFT, PBE
State: relaxed

a = 7.8589 Å, b = 7.8589 Å, c = 7.8589 Å
α = 90.00°, β = 90.00°, γ = 90.00°
With the nearest neighbours (Å) after each atom.
Space group F-43m (No. 216)
Symmetry-distinct sites (fractional):
As  0.1238  0.1238  0.3762  6 As 2.75-2.80
W  0.2500  0.2500  0.7500  12 As 3.26, 4 Br 3.40
Br  0.0000  0.0000  0.0000  12 As 3.26, 4 W 3.40

Calculated values
The density of states at the Fermi level comes out at 0.827 states/eV per atom. The total moment comes out at 9.25 Bohr magnetons per cell. For the formation energy without anion corrections, the calculation gives 1.030 eV/atom.



(8)
Material: AsWBr4
Method: DFT, PBE
State: relaxed

a = 8.5527 Å, b = 8.5527 Å, c = 8.5527 Å
α = 90.00°, β = 90.00°, γ = 90.00°
With the nearest neighbours (Å) after each atom.
Space group F-43m (No. 216)
Symmetry-distinct sites (fractional):
As  0.0000  0.0000  0.0000  12 Br 3.55, 4 W 3.70
W  0.2500  0.2500  0.7500  12 Br 3.54, 4 As 3.70
Br  0.1243  0.1243  0.3757  6 Br 3.01-3.04

Calculated values
The density of states at the Fermi level comes out at 1.373 states/eV per atom. The total moment comes out at 11.51 Bohr magnetons per cell. For the formation energy without anion corrections, the calculation gives 1.656 eV/atom.



(9)
Material: AsW2Br
Method: DFT, PBE
State: relaxed

a = 5.5217 Å, b = 9.0161 Å, c = 3.3416 Å
α = 90.00°, β = 121.81°, γ = 90.00°
With the nearest neighbours (Å) after each atom.
Space group C2/m (No. 12)
Symmetry-distinct sites (fractional):
As  0.0000  0.0000  0.0000  4 W 2.71, 4 Br 2.76-3.01
W  0.2500  0.2500  0.5000  2 As 2.71, 2 Br 2.71, 4 W 2.76-3.01
Br  0.0000  0.5000  0.0000  4 W 2.71, 4 As 2.76-3.01

Calculated values
As for the excess energy over the best structure of this formula in the dataset: 963.4 meV/atom. The density of states at the Fermi level comes out at 1.035 states/eV per atom. The total moment comes out at 0.00 Bohr magnetons per cell. For the formation energy without anion corrections, the calculation gives 1.109 eV/atom.



(10)
Material: AsW2Br
Method: DFT, PBE
State: relaxed

a = 4.5074 Å, b = 3.0182 Å, c = 5.3153 Å
α = 90.00°, β = 113.26°, γ = 90.00°
With the nearest neighbours (Å) after each atom.
Space group P2/m (No. 10)
Symmetry-distinct sites (fractional):
As  0.0000  0.0000  0.0000  6 W 2.71-2.72, 2 As 3.02
W  0.5000  0.0000  0.5000  4 Br 2.71, 2 As 2.72, 2 W 3.02
W  0.5000  0.5000  0.0000  4 As 2.71, 2 Br 2.72, 2 W 3.02
Br  0.0000  0.5000  0.5000  6 W 2.71-2.72, 2 Br 3.02

Calculated values
As for the excess energy over the best structure of this formula in the dataset: 695.9 meV/atom. The density of states at the Fermi level comes out at 0.801 states/eV per atom. The total moment comes out at 0.00 Bohr magnetons per cell. For the formation energy without anion corrections, the calculation gives 0.842 eV/atom.



(11)
Material: AsW2Br
Method: DFT, PBE
State: relaxed

a = 2.9703 Å, b = 5.5025 Å, c = 8.8071 Å
α = 90.00°, β = 90.00°, γ = 90.00°
With the nearest neighbours (Å) after each atom.
Space group Immm (No. 71)
Symmetry-distinct sites (fractional):
As  0.0000  0.0000  0.0000  4 W 2.53
W  0.0000  0.5000  0.2679  2 As 2.53, 2 Br 2.79
Br  0.0000  0.0000  0.5000  4 W 2.79, 2 Br 2.97

Calculated values
As for the excess energy over the best structure of this formula in the dataset: 948.6 meV/atom. The density of states at the Fermi level comes out at 0.892 states/eV per atom. The total moment comes out at 0.00 Bohr magnetons per cell. For the formation energy without anion corrections, the calculation gives 1.095 eV/atom.



(12)
Material: AsW2Br
Method: DFT, PBE
State: relaxed

a = 3.8280 Å, b = 4.1253 Å, c = 5.9369 Å
α = 90.00°, β = 94.66°, γ = 90.00°
With the nearest neighbours (Å) after each atom.
Space group P2/m (No. 10)
Symmetry-distinct sites (fractional):
As  0.0000  0.0000  0.0000  4 W 2.47
W  0.2978  0.5000  0.1404  1 W 2.37, 2 As 2.47
Br  0.5000  0.0000  0.5000  4 W 3.02

Calculated values
As for the excess energy over the best structure of this formula in the dataset: 617.8 meV/atom. The density of states at the Fermi level comes out at 0.700 states/eV per atom. The total moment comes out at 0.00 Bohr magnetons per cell. For the formation energy without anion corrections, the calculation gives 0.764 eV/atom.



(13)
Material: AsWBr
Method: DFT, PBE
State: relaxed

a = 6.3276 Å, b = 6.3276 Å, c = 6.3276 Å
α = 90.00°, β = 90.00°, γ = 90.00°
With the nearest neighbours (Å) after each atom.
Space group F-43m (No. 216)
Symmetry-distinct sites (fractional):
As  0.0000  0.0000  0.0000  4 W 2.74, 4 Br 2.74
W  0.2500  0.2500  0.2500  4 As 2.74
Br  0.2500  0.2500  0.7500  4 As 2.74

Calculated values
As for the excess energy over the best structure of this formula in the dataset: 1217.0 meV/atom. The density of states at the Fermi level comes out at 1.195 states/eV per atom. The total moment comes out at 0.00 Bohr magnetons per cell. For the formation energy without anion corrections, the calculation gives 1.420 eV/atom.



(14)
Material: AsW2Br2
Method: DFT, PBE
State: relaxed

a = 8.1020 Å, b = 8.1020 Å, c = 2.9133 Å
α = 90.00°, β = 90.00°, γ = 90.00°
With the nearest neighbours (Å) after each atom.
Space group P4/mbm (No. 127)
Symmetry-distinct sites (fractional):
As  0.0000  0.0000  0.0000  2 As 2.91, 4 Br 3.19
W  0.1940  0.3060  0.5000  2 Br 2.52
Br  0.1267  0.6267  0.0000  2 W 2.52

Calculated values
As for the excess energy over the best structure of this formula in the dataset: 207.0 meV/atom. The density of states at the Fermi level comes out at 0.843 states/eV per atom. The total moment comes out at 0.00 Bohr magnetons per cell. For the formation energy without anion corrections, the calculation gives 1.529 eV/atom.



(15)
Material: AsW2Br2
Method: DFT, PBE
State: relaxed

a = 4.2895 Å, b = 4.2895 Å, c = 11.0882 Å
α = 90.00°, β = 90.00°, γ = 90.00°
With the nearest neighbours (Å) after each atom.
Space group I4/mmm (No. 139)
Symmetry-distinct sites (fractional):
As  0.0000  0.0000  0.0000  8 Br 3.35, 8 W 3.50
W  0.0000  0.5000  0.2500  4 Br 2.53
Br  0.0000  0.0000  0.3707  4 W 2.53

Calculated values
As for the excess energy over the best structure of this formula in the dataset: 0.0 meV/atom. The density of states at the Fermi level comes out at 0.807 states/eV per atom. The total moment comes out at 0.00 Bohr magnetons per cell. For the formation energy without anion corrections, the calculation gives 1.322 eV/atom.